[1]
# PBE-GGA Ba6NaAu2, optimized geometry
# **E**: -2.43 eV/atom
# **ΔE to the lowest computed polymorph**: 0.019 eV per atom
data_Ba6NaAu2
_chemical_formula_sum 'Ba6 Na1 Au2'
_cell_length_a 8.279
_cell_length_b 8.279
_cell_length_c 11.158
_cell_angle_alpha 115.45
_cell_angle_beta 115.45
_cell_angle_gamma 46.45
_symmetry_space_group_name_H-M 'P 1'
_symmetry_Int_Tables_number 1
loop_
_symmetry_equiv_pos_as_xyz
'x,y,z'
loop_
_atom_site_label
_atom_site_fract_x
_atom_site_fract_y
_atom_site_fract_z
Ba1 0.011 0.011 0.188
Ba2 0.304 0.304 0.903
Ba3 0.335 0.335 0.441
Ba4 0.665 0.665 0.559
Ba5 0.696 0.696 0.097
Ba6 0.989 0.989 0.812
Na1 0.000 0.000 0.500
Au1 0.192 0.192 0.107
Au2 0.808 0.808 0.893

=====

[2]
# PBE-GGA Sr2InNi, optimized geometry
# **E**: -3.06 eV/atom
data_Sr2InNi
_chemical_formula_sum 'Sr4 In2 Ni2'
_cell_length_a 12.166
_cell_length_b 3.937
_cell_length_c 5.503
_cell_angle_alpha 90.00
_cell_angle_beta 116.80
_cell_angle_gamma 90.00
_symmetry_space_group_name_H-M 'P 1'
_symmetry_Int_Tables_number 1
loop_
_symmetry_equiv_pos_as_xyz
'x,y,z'
loop_
_atom_site_label
_atom_site_fract_x
_atom_site_fract_y
_atom_site_fract_z
Sr1 0.000 0.000 0.000
Sr2 0.197 0.000 0.696
Sr3 0.500 0.500 0.000
Sr4 0.697 0.500 0.696
In1 0.296 0.500 0.296
In2 0.796 0.000 0.296
Ni1 0.449 0.000 0.453
Ni2 0.949 0.500 0.453

=====

[3]
# PBE-GGA Ca2In5IrRh2, optimized geometry
# **E**: -4.46 eV/atom
data_Ca2In5IrRh2
_chemical_formula_sum 'Ca4 In10 Ir2 Rh4'
_cell_length_a 10.596
_cell_length_b 10.596
_cell_length_c 3.821
_cell_angle_alpha 90.00
_cell_angle_beta 90.00
_cell_angle_gamma 90.00
_symmetry_space_group_name_H-M 'P 1'
_symmetry_Int_Tables_number 1
loop_
_symmetry_equiv_pos_as_xyz
'x,y,z'
loop_
_atom_site_label
_atom_site_fract_x
_atom_site_fract_y
_atom_site_fract_z
Ca1 0.179 0.321 0.000
Ca2 0.321 0.821 0.000
Ca3 0.679 0.179 0.000
Ca4 0.821 0.679 0.000
In1 0.000 0.500 0.500
In2 0.060 0.807 0.500
In3 0.193 0.060 0.500
In4 0.307 0.560 0.500
In5 0.440 0.307 0.500
In6 0.500 0.000 0.500
In7 0.560 0.693 0.500
In8 0.693 0.440 0.500
In9 0.807 0.940 0.500
In10 0.940 0.193 0.500
Ir1 0.000 0.000 0.000
Ir2 0.500 0.500 0.000
Rh1 0.126 0.626 0.000
Rh2 0.374 0.126 0.000
Rh3 0.626 0.874 0.000
Rh4 0.874 0.374 0.000

=====

| no. | DOS(E_F) (states/eV/atom) |
| --- | --- |
| 1 | 0.9556 |
| 2 | 0.8949 |
| 3 | 0.4773 |